Material: LiLa2Ru
Method: DFT, PBE-GGA
State: optimized geometry

ΔE_f = 42 meV per atom
theoretical density = 6.45 g/cm3
crystal system = tetragonal

Geometry as CIF:
```
data_LiLa2Ru
_chemical_formula_sum 'Li1 La2 Ru1'
_symmetry_space_group_name_H-M 'P 4 m m'
_symmetry_Int_Tables_number 99
_cell_length_a 3.6126
_cell_length_b 3.6126
_cell_length_c 7.6153
_cell_angle_alpha 90.00
_cell_angle_beta 90.00
_cell_angle_gamma 90.00
loop_
_symmetry_equiv_pos_as_xyz
'x,y,z'
'-y,x,z'
'-x,-y,z'
'y,-x,z'
'-x,y,z'
'y,x,z'
'x,-y,z'
'-y,-x,z'
loop_
_atom_site_label
_atom_site_fract_x
_atom_site_fract_y
_atom_site_fract_z
Li1 0.0000 0.0000 0.0000
La1 0.0000 0.0000 0.3653
La2 0.5000 0.5000 0.7784
Ru1 0.5000 0.5000 0.1078
```

=====

Material: Li2LaRu
Method: DFT, PBE-GGA
State: optimized geometry

ΔE_f = 154 meV per atom
theoretical density = 5.10 g/cm3
crystal system = monoclinic

Geometry as CIF:
```
data_Li2LaRu
_chemical_formula_sum 'Li4 La2 Ru2'
_symmetry_space_group_name_H-M 'C 1 2/m 1'
_symmetry_Int_Tables_number 12
_cell_length_a 5.3707
_cell_length_b 10.7687
_cell_length_c 3.4893
_cell_angle_alpha 90.00
_cell_angle_beta 124.95
_cell_angle_gamma 90.00
loop_
_symmetry_equiv_pos_as_xyz
'x,y,z'
'-x,-y,-z'
'-x,y,-z'
'x,-y,z'
'x+1/2,y+1/2,z'
'-x+1/2,-y+1/2,-z'
'-x+1/2,y+1/2,-z'
'x+1/2,-y+1/2,z'
loop_
_atom_site_label
_atom_site_fract_x
_atom_site_fract_y
_atom_site_fract_z
Li1 0.2500 0.2500 0.0000
La1 0.0000 0.0000 0.5000
Ru1 0.0000 0.5000 0.5000
```

=====

Material: LiLa2Ru
Method: DFT, PBE-GGA
State: optimized geometry

ΔE_f = -125 meV per atom
theoretical density = 6.62 g/cm3
crystal system = cubic

Geometry as CIF:
```
data_LiLa2Ru
_chemical_formula_sum 'Li4 La8 Ru4'
_symmetry_space_group_name_H-M 'F m -3 m'
_symmetry_Int_Tables_number 225
_symmetry_space_group_name_Hall '-F 4 2 3'
_cell_length_a 7.2882
_cell_length_b 7.2882
_cell_length_c 7.2882
_cell_angle_alpha 90.00
_cell_angle_beta 90.00
_cell_angle_gamma 90.00
loop_
_atom_site_label
_atom_site_fract_x
_atom_site_fract_y
_atom_site_fract_z
Li1 0.0000 0.0000 0.0000
La1 0.2500 0.2500 0.2500
Ru1 0.0000 0.0000 0.5000
```

=====

no.,excess energy over the best structure of this formula in the dataset (kJ/mol of formula units),density of states at the Fermi level (states/eV per cell)
1,64.3,3.0
2,62.5,7.1
3,0.0,11.5